# TmZrZnCu GGA-PBE optimized geometry
# V in A^3/atom: 19.41
# E_form in meV/atom: -226
data_TmZrZnCu
_symmetry_space_group_name_H-M 'P 4 m m'
_symmetry_Int_Tables_number 99
_cell_length_a 3.349
_cell_length_b 3.349
_cell_length_c 6.924
_cell_angle_alpha 90.00
_cell_angle_beta 90.00
_cell_angle_gamma 90.00
loop_
_symmetry_equiv_pos_as_xyz
'x,y,z'
'-y,x,z'
'-x,-y,z'
'y,-x,z'
'-x,y,z'
'y,x,z'
'x,-y,z'
'-y,-x,z'
loop_
_atom_site_label
_atom_site_type_symbol
_atom_site_fract_x
_atom_site_fract_y
_atom_site_fract_z
Tm1 Tm 0.000 0.000 0.000
Zr1 Zr 0.000 0.000 0.513
Zn1 Zn 0.500 0.500 0.273
Cu1 Cu 0.500 0.500 0.743